i | HoSc3Ga2 | PBE | optimized geometry

The structure belongs to space group C2/m (No. 12); the cell edges are 16.466, 4.415 and 8.209 Å and the angles 90.00°, 113.34° and 90.00°. The distinct sites, in fractional coordinates, are Ho at (0.120, 0.000, 0.158), Sc at (0.058, 0.000, 0.702), Sc at (0.145, 0.500, 0.487), Sc at (0.187, 0.500, 0.913), Ga at (0.008, 0.500, 0.847) and Ga at (0.231, 0.000, 0.700).

Its magnetization is 0.0 μB/cell.

---

ii | HoSc3Ga2 | PBE | optimized geometry

The structure belongs to space group Pmc2_1 (No. 26); the cell edges are 4.608, 9.000 and 6.359 Å and the angles 90.00°, 90.00° and 90.00°. The distinct sites, in fractional coordinates, are Ho at (0.000, 0.049, 0.000), Sc at (0.000, 0.318, 0.619), Sc at (0.500, 0.198, 0.289), Sc at (0.500, 0.449, 0.908), Ga at (0.000, 0.372, 0.170) and Ga at (0.500, 0.135, 0.733).

Its magnetization is 0.0 μB/cell.

---

Stability, descending: ii, i